P.
A relaxed HRh2Cl crystal, computed with PBE.

a b c (Å): 5.824 5.824 5.824
angles (deg): 90.00 90.00 90.00
Space group Fm-3m (No. 225)
Asymmetric unit:
H 0.000 0.000 0.000 [4 per cell]
Rh 0.250 0.250 0.250 [8 per cell]
Cl 0.000 0.000 0.500 [4 per cell]

***

Q.
A relaxed HRh2Cl crystal, computed with PBE.

a b c (Å): 4.863 4.863 9.076
angles (deg): 90.00 90.00 90.00
Space group I-42d (No. 122)
Asymmetric unit:
H 0.000 0.000 0.000 [4 per cell]
Rh 0.148 0.250 0.125 [8 per cell]
Cl 0.000 0.000 0.500 [4 per cell]

***

Decreasing stability: Q, P

***

P.
A relaxed H2RhCl crystal, computed with PBE.

a b c (Å): 5.352 5.352 5.352
angles (deg): 90.00 90.00 90.00
Space group Fm-3m (No. 225)
Asymmetric unit:
H 0.250 0.250 0.250 [8 per cell]
Rh 0.000 0.000 0.000 [4 per cell]
Cl 0.000 0.000 0.500 [4 per cell]

***

Q.
A relaxed H2RhCl crystal, computed with PBE.

a b c (Å): 6.394 6.394 4.856
angles (deg): 90.00 90.00 90.00
Space group I4_1/amd (No. 141, origin choice 2)
Asymmetric unit:
H 0.000 0.000 0.000 [8 per cell]
Rh 0.000 0.250 0.875 [4 per cell]
Cl 0.000 0.250 0.375 [4 per cell]

***

Decreasing stability: Q, P

***

P.
A relaxed H3RhCl crystal, computed with PBE.

a b c (Å): 3.557 3.557 3.557
angles (deg): 90.00 90.00 90.00
Space group Pm-3m (No. 221)
Asymmetric unit:
H 0.000 0.000 0.500 [3 per cell]
Rh 0.500 0.500 0.500 [1 per cell]
Cl 0.000 0.000 0.000 [1 per cell]

***

Q.
A relaxed H3RhCl crystal, computed with PBE.

a b c (Å): 3.587 3.587 3.587
angles (deg): 90.00 90.00 90.00
Space group Pm-3m (No. 221)
Asymmetric unit:
H 0.000 0.000 0.500 [3 per cell]
Rh 0.000 0.000 0.000 [1 per cell]
Cl 0.500 0.500 0.500 [1 per cell]

***

Decreasing stability: Q, P

***

P.
A relaxed HRhS2Cl crystal, computed with PBE.

a b c (Å): 4.557 4.557 5.103
angles (deg): 90.00 90.00 90.00
Space group P4/mmm (No. 123)
Asymmetric unit:
H 0.000 0.000 0.000 [1 per cell]
Rh 0.500 0.500 0.500 [1 per cell]
S 0.000 0.500 0.500 [2 per cell]
Cl 0.500 0.500 0.000 [1 per cell]

***

Q.
A relaxed HRhS2Cl crystal, computed with PBE.

a b c (Å): 3.575 3.575 6.665
angles (deg): 90.00 90.00 90.00
Space group P4/mmm (No. 123)
Asymmetric unit:
H 0.000 0.000 0.000 [1 per cell]
Rh 0.500 0.500 0.500 [1 per cell]
S 0.000 0.500 0.000 [2 per cell]
Cl 0.000 0.000 0.500 [1 per cell]

***

Decreasing stability: P, Q